[1]
Compound: AgGeAsO2
Source: Alexandria via LeMat-Bulk
Functional: GGA-PBE
Structure: relaxed

POSCAR file:
```
AgGeAsO2
1.0
3.626 0.000 0.000
0.000 7.542 0.000
0.000 0.000 3.626
As Ag Ge O
1 1 1 2
Cartesian
1.813 3.771 1.813
0.000 3.771 0.000
0.000 0.000 0.000
0.000 0.000 1.813
1.813 0.000 0.000
```

- Spin magnetization: 0.1467 μB per atom
- Raw total energy: -4.576 eV per atom
- SG: P4/mmm, No. 123


[2]
Compound: Co2SeBr
Source: Alexandria via LeMat-Bulk
Functional: GGA-PBE
Structure: relaxed

POSCAR file:
```
Co2SeBr
1.0
3.633 0.000 0.000
0.000 6.311 -0.002
0.000 4.190 2.991
Br Co Se
1 2 1
Cartesian
0.000 2.095 1.495
1.816 3.156 -0.001
0.000 0.000 0.000
1.816 5.250 1.495
```

- Spin magnetization: 0.9527 μB per atom
- Raw total energy: -4.505 eV per atom
- Polymorph energy (0 for the lowest one): 1.60 eV per formula unit
- SG: P2/m, No. 10